<one>
Pr2YGe: optimized geometry, GGA-PBE.

Unit cell a=4.765 b=4.765 c=4.896 alpha=90.00 beta=90.00 gamma=90.00
Atoms (fractional coordinates):
Pr1 0.000 0.500 0.000
Pr2 0.500 0.000 0.000
Y1 0.000 0.000 0.500
Ge1 0.500 0.500 0.500

<two>
Pr2YGe: optimized geometry, GGA-PBE.

Unit cell a=10.122 b=10.122 c=10.122 alpha=22.41 beta=22.41 gamma=22.41
Atoms (fractional coordinates):
Pr1 0.000 0.000 0.000
Pr2 0.201 0.201 0.201
Y1 0.767 0.767 0.767
Ge1 0.601 0.601 0.601

<three>
Pr2YGe: optimized geometry, GGA-PBE.

Unit cell a=12.031 b=12.031 c=12.031 alpha=17.16 beta=17.16 gamma=17.16
Atoms (fractional coordinates):
Pr1 0.084 0.084 0.084
Pr2 0.916 0.916 0.916
Y1 0.500 0.500 0.500
Ge1 0.000 0.000 0.000

Stability verdict: <one>, ahead by 12.7 kJ/mol of atoms

<one>
PrY2Ge: optimized geometry, GGA-PBE.

Unit cell a=10.136 b=10.136 c=10.136 alpha=21.53 beta=21.53 gamma=21.53
Atoms (fractional coordinates):
Pr1 0.000 0.000 0.000
Y1 0.230 0.230 0.230
Y2 0.770 0.770 0.770
Ge1 0.500 0.500 0.500

<two>
PrY2Ge: optimized geometry, GGA-PBE.

Unit cell a=9.608 b=9.608 c=9.608 alpha=24.03 beta=24.03 gamma=24.03
Atoms (fractional coordinates):
Pr1 0.000 0.000 0.000
Y1 0.556 0.556 0.556
Y2 0.772 0.772 0.772
Ge1 0.163 0.163 0.163

Stability verdict: <two>, ahead by 1.0 kJ/mol of atoms